[1]
{"formula": "HfU2TaN4", "functional": "PBE", "state": "optimized geometry", "e_form_raw_ev_per_atom": -1.407, "rho_g_cm3": 14.68, "lattice_angstrom": [[3.228, 0.000, 0.000], [0.000, 5.574, 0.094], [0.000, -1.956, 5.574]], "species": ["Ta", "Hf", "N", "N", "N", "N", "U", "U"], "frac_coords": [[0.000, 0.000, 0.000], [0.500, 0.500, 0.000], [0.500, 0.235, 0.218], [0.000, 0.744, 0.219], [0.500, 0.765, 0.782], [0.000, 0.256, 0.781], [0.000, 0.500, 0.500], [0.500, 0.000, 0.500]]}



[2]
{"formula": "HfTa2VN", "functional": "PBE", "state": "optimized geometry", "e_form_raw_ev_per_atom": -0.494, "rho_g_cm3": 13.15, "lattice_angstrom": [[-1.359, -0.415, -4.196], [4.205, 0.189, -1.381], [0.271, -3.873, 0.295]], "species": ["Ta", "Ta", "V", "Hf", "N"], "frac_coords": [[0.500, 0.000, 0.000], [0.000, 0.500, 0.000], [0.000, 0.000, 0.500], [0.500, 0.500, 0.500], [0.000, 0.000, 0.000]]}



[3]
{"formula": "HfTaVN2", "functional": "PBE", "state": "optimized geometry", "e_form_raw_ev_per_atom": 1.094, "rho_g_cm3": 8.15, "lattice_angstrom": [[-0.725, -0.618, -3.888], [5.422, 0.670, -1.118], [0.591, -3.926, 0.514]], "species": ["N", "N", "V", "Hf", "Ta"], "frac_coords": [[0.500, 0.000, 0.000], [0.000, 0.000, 0.500], [0.500, 0.500, 0.500], [0.000, 0.500, 0.000], [0.000, 0.000, 0.000]]}



[4]
{"formula": "Hf2TaVN", "functional": "PBE", "state": "optimized geometry", "e_form_raw_ev_per_atom": -0.595, "rho_g_cm3": 12.54, "lattice_angstrom": [[4.534, 0.000, 0.000], [0.000, 4.534, 0.000], [0.000, 0.000, 3.883]], "species": ["V", "N", "Hf", "Hf", "Ta"], "frac_coords": [[0.000, 0.000, 0.500], [0.000, 0.000, 0.000], [0.000, 0.500, 0.000], [0.500, 0.000, 0.000], [0.500, 0.500, 0.500]]}